# 1
Compound: SrLaNiO4
Source: the Alexandria database
Functional: PBEsol
Structure: relaxed

abc: 6.640 6.640 5.389
angles: 90.00 90.00 132.24
Fractional positions:
1 Sr 0.107 0.893 0.750
2 Sr 0.893 0.107 0.250
3 La 0.385 0.615 0.750
4 La 0.615 0.385 0.250
5 Ni 0.251 0.749 0.250
6 Ni 0.749 0.251 0.750
7 O 0.000 0.500 0.000
8 O 0.000 0.500 0.500
9 O 0.092 0.908 0.250
10 O 0.418 0.582 0.250
11 O 0.500 0.000 0.000
12 O 0.500 0.000 0.500
13 O 0.582 0.418 0.750
14 O 0.908 0.092 0.750

* crystal system: orthorhombic
* calculated volume: 175.9 Å³/cell
* formation energy without anion corrections: -2.415 eV per atom

# 2
Compound: RbMg2ScC
Source: the Alexandria database
Functional: PBEsol
Structure: relaxed

abc: 5.991 5.991 4.182
angles: 90.00 90.00 90.00
Fractional positions:
1 Rb 0.000 0.000 0.000
2 Mg 0.000 0.500 0.500
3 Mg 0.500 0.000 0.500
4 Sc 0.500 0.500 0.500
5 C 0.500 0.500 0.000

* crystal system: tetragonal
* formation enthalpy at 0 K: 931 meV per atom
* calculated volume: 150.1 Å³/cell

# 3
Compound: LiScCu3
Source: the Alexandria database
Functional: PBEsol
Structure: relaxed

abc: 4.787 4.787 4.787
angles: 90.00 90.00 90.00
Fractional positions:
1 Li 0.000 0.000 0.000
2 Sc 0.500 0.500 0.500
3 Cu 0.000 0.500 0.500
4 Cu 0.500 0.000 0.500
5 Cu 0.500 0.500 0.000

* crystal system: cubic
* formation enthalpy at 0 K: 955 meV per atom
* calculated volume: 109.7 Å³/cell

Among the records above, which one has the highest calculated volume? SrLaNiO4

What is the formula in the second record? RbMg2ScC

Look up the calculated volume of the third one. 109.7 Å³/cell

calculated volume of number 3 (LiScCu3)? 109.7 Å³/cell